No. 1
The following is a DFT calculation (PBE) of crystalline POs at its relaxed geometry.

It has space group I4_1/amd (No. 141, origin choice 2), with a = 3.523 Å, b = 3.523 Å, c = 8.752 Å, α = 90.00°, β = 90.00° and γ = 90.00°. The asymmetric unit holds P at (0.000, 0.250, 0.375) and Os at (0.000, 0.250, 0.875).

The value obtained for the energy relative to the elements is 0.472 eV per atom. The density of states at the Fermi level is 5.119 states/eV/cell. The magnetic moment comes out at 0.00 Bohr magnetons per cell. As for the energy: -7.85 eV per atom.

=====

No. 2
The following is a DFT calculation (PBE) of crystalline Ni2AsIr at its relaxed geometry.

It has space group I-42d (No. 122), with a = 3.598 Å, b = 3.598 Å, c = 17.366 Å, α = 90.00°, β = 90.00° and γ = 90.00°. The asymmetric unit holds Ni at (0.246, 0.250, 0.125), As at (0.000, 0.000, 0.000) and Ir at (0.000, 0.000, 0.500).

The value obtained for the energy relative to the elements is 0.231 eV per atom. The density of states at the Fermi level is 16.139 states/eV/cell. The magnetic moment comes out at 0.00 Bohr magnetons per cell. As for the energy: -6.04 eV per atom.

=====

No. 3
The following is a DFT calculation (PBE) of crystalline RbInS at its relaxed geometry.

It has space group Fddd (No. 70, origin choice 2), with a = 10.440 Å, b = 11.404 Å, c = 15.785 Å, α = 90.00°, β = 90.00° and γ = 90.00°. The asymmetric unit holds Rb at (0.125, 0.125, 0.265), In at (0.000, 0.000, 0.500) and S at (0.117, 0.375, 0.375).

The density of states at the Fermi level is 21.614 states/eV/cell. The magnetic moment comes out at 0.00 Bohr magnetons per cell. As for the energy: -3.05 eV per atom. Its raw formation energy is -0.443 eV per atom. The energy above the lowest structure with this stoichiometry comes out at 0.737 eV per formula unit.

=====

No. 4
The following is a DFT calculation (PBE) of crystalline Ag3HRu at its relaxed geometry.

It has space group Pm-3m (No. 221), with a = 5.158 Å, b = 5.158 Å, c = 5.158 Å, α = 90.00°, β = 90.00° and γ = 90.00°. The asymmetric unit holds Ag at (0.000, 0.000, 0.500), H at (0.500, 0.500, 0.500) and Ru at (0.000, 0.000, 0.000).

The density of states at the Fermi level is 3.456 states/eV/cell. The magnetic moment comes out at 2.79 Bohr magnetons per cell. As for the energy: -2.54 eV per atom. The energy above the lowest structure with this stoichiometry comes out at 5.173 eV per formula unit.

=====

No. 5
The following is a DFT calculation (PBE) of crystalline KNaHgF4 at its relaxed geometry.

It has space group P2_1/m (No. 11), with a = 6.427 Å, b = 5.912 Å, c = 6.782 Å, α = 90.00°, β = 104.88° and γ = 90.00°. The asymmetric unit holds K at (0.120, 0.250, 0.101), Na at (0.154, 0.750, 0.481), Hg at (0.401, 0.250, 0.701), F at (0.130, 0.018, 0.720), F at (0.255, 0.750, 0.174) and F at (0.474, 0.250, 0.389).

The density of states at the Fermi level is 0.000 states/eV/cell. The magnetic moment comes out at 0.00 Bohr magnetons per cell. As for the energy: -3.59 eV per atom. Its raw formation energy is -2.136 eV per atom.

=====

No. 6
The following is a DFT calculation (PBE) of crystalline Pr6Tl2O at its relaxed geometry.

It has space group Fm-3m (No. 225), with a = 10.184 Å, b = 10.184 Å, c = 10.184 Å, α = 90.00°, β = 90.00° and γ = 90.00°. The asymmetric unit holds Pr at (0.000, 0.000, 0.247), Tl at (0.250, 0.250, 0.250) and O at (0.000, 0.000, 0.000).

The density of states at the Fermi level is 23.980 states/eV/cell. The magnetic moment comes out at 0.00 Bohr magnetons per cell. As for the energy: -5.02 eV per atom. Its raw formation energy is -0.755 eV per atom. The energy above the lowest structure with this stoichiometry comes out at 0.000 eV per formula unit.

=====

No. 7
The following is a DFT calculation (PBE) of crystalline LiGd2Ir at its relaxed geometry.

It has space group P4/mmm (No. 123), with a = 4.874 Å, b = 4.874 Å, c = 3.656 Å, α = 90.00°, β = 90.00° and γ = 90.00°. The asymmetric unit holds Li at (0.000, 0.000, 0.000), Gd at (0.000, 0.500, 0.500) and Ir at (0.500, 0.500, 0.000).

The value obtained for the energy relative to the elements is -0.415 eV per atom. The density of states at the Fermi level is 3.087 states/eV/cell. The magnetic moment comes out at 14.50 Bohr magnetons per cell. As for the energy: -10.15 eV per atom. The energy above the lowest structure with this stoichiometry comes out at 0.389 eV per formula unit.

=====

No. 8
The following is a DFT calculation (PBE) of crystalline CaMgTc at its relaxed geometry.

It has space group F-43m (No. 216), with a = 6.907 Å, b = 6.907 Å, c = 6.907 Å, α = 90.00°, β = 90.00° and γ = 90.00°. The asymmetric unit holds Ca at (0.000, 0.000, 0.000), Mg at (0.250, 0.250, 0.750) and Tc at (0.250, 0.250, 0.250).

The value obtained for the energy relative to the elements is 1.322 eV per atom. The density of states at the Fermi level is 7.308 states/eV/cell. The magnetic moment comes out at 11.19 Bohr magnetons per cell. As for the energy: -3.33 eV per atom. The energy above the lowest structure with this stoichiometry comes out at 2.619 eV per formula unit.